[1]
{"formula": "SrLiCr2O8", "functional": "GGA+U", "state": "relaxed", "space_group": "No. 148", "total_energy_ev_per_cell": -76.2, "cell": [[4.9848, 0.0000, 0.0000], [2.4924, 4.3169, 0.0000], [2.4924, 1.4390, 7.4032]], "species": ["O", "O", "Li", "Cr", "O", "O", "O", "Cr", "O", "O", "Sr", "O"], "fractional_positions": [[0.8238, 0.8238, 0.5287], [0.5887, 0.2802, 0.1800], [0.0000, 0.0000, 0.0000], [0.7486, 0.7486, 0.7543], [0.0489, 0.4113, 0.8200], [0.9511, 0.5887, 0.1800], [0.7198, 0.0489, 0.8200], [0.2514, 0.2514, 0.2457], [0.1762, 0.1762, 0.4713], [0.2802, 0.9511, 0.1800], [0.5000, 0.5000, 0.5000], [0.4113, 0.7198, 0.8200]]}

[2]
{"formula": "SrLiCrO3", "functional": "GGA+U", "state": "relaxed", "space_group": "No. 194", "total_energy_ev_per_cell": -76.8, "cell": [[5.6232, 0.0000, 0.0000], [-2.8116, 4.8699, 0.0000], [0.0000, 0.0000, 5.4633]], "species": ["Li", "O", "Cr", "O", "Sr", "Li", "Cr", "O", "O", "Sr", "O", "O"], "fractional_positions": [[0.3333, 0.6667, 0.2500], [0.1549, 0.8451, 0.2500], [0.0000, 0.0000, 0.0000], [0.1549, 0.3097, 0.2500], [0.3333, 0.6667, 0.7500], [0.6667, 0.3333, 0.7500], [0.0000, 0.0000, 0.5000], [0.8451, 0.1549, 0.7500], [0.6903, 0.8451, 0.2500], [0.6667, 0.3333, 0.2500], [0.8451, 0.6903, 0.7500], [0.3097, 0.1549, 0.7500]]}

[3]
{"formula": "Sr2LiZrCrO6", "functional": "GGA+U", "state": "relaxed", "space_group": "No. 160", "total_energy_ev_per_cell": -79.1, "polymorph_energy_ev_per_atom": 0.024, "cell": [[5.4077, -2.8432, 0.0057], [5.4077, 2.8432, 0.0057], [3.9078, 0.0000, 4.6964]], "species": ["O", "O", "O", "O", "O", "Cr", "Sr", "Li", "Sr", "O", "Zr"], "fractional_positions": [[0.2398, 0.7475, 0.2398], [0.7497, 0.2305, 0.7497], [0.7497, 0.7497, 0.2305], [0.2305, 0.7497, 0.7497], [0.2398, 0.2398, 0.7475], [0.9861, 0.9861, 0.9861], [0.2949, 0.2949, 0.2949], [0.1312, 0.1312, 0.1312], [0.7630, 0.7630, 0.7630], [0.7475, 0.2398, 0.2398], [0.5046, 0.5046, 0.5046]]}

Copy entry 2 word for word.
{"formula": "SrLiCrO3", "functional": "GGA+U", "state": "relaxed", "space_group": "No. 194", "total_energy_ev_per_cell": -76.8, "cell": [[5.6232, 0.0000, 0.0000], [-2.8116, 4.8699, 0.0000], [0.0000, 0.0000, 5.4633]], "species": ["Li", "O", "Cr", "O", "Sr", "Li", "Cr", "O", "O", "Sr", "O", "O"], "fractional_positions": [[0.3333, 0.6667, 0.2500], [0.1549, 0.8451, 0.2500], [0.0000, 0.0000, 0.0000], [0.1549, 0.3097, 0.2500], [0.3333, 0.6667, 0.7500], [0.6667, 0.3333, 0.7500], [0.0000, 0.0000, 0.5000], [0.8451, 0.1549, 0.7500], [0.6903, 0.8451, 0.2500], [0.6667, 0.3333, 0.2500], [0.8451, 0.6903, 0.7500], [0.3097, 0.1549, 0.7500]]}